[1]
La2CrRe | Alexandria | GGA-PBE | relaxed; total magnetic moment = 4.7 μB per formula unit; ΔH_f (0 K) = 0.530 eV/atom; polymorph energy (0 for the lowest one) = 263 meV per atom; DOS at the Fermi energy = 3.49 states/eV/cell; calculated total energy = -0.5477 Ry/atom; mass density = 8.62 Mg/m³
1.0
2.5312 -2.5368 0.0000
2.5312 2.5368 0.0000
0.0000 0.0000 7.7433
La Cr Re
2 1 1
direct
0.0000 0.0000 0.2255
0.0000 0.0000 0.7745
0.5000 0.5000 0.5000
0.5000 0.5000 0.0000


[2]
La2CrRe | Alexandria | GGA-PBE | relaxed; total magnetic moment = 3.3 μB per formula unit; ΔH_f (0 K) = 0.794 eV/atom; polymorph energy (0 for the lowest one) = 526 meV per atom; DOS at the Fermi energy = 3.46 states/eV/cell; calculated total energy = -0.5283 Ry/atom; mass density = 8.92 Mg/m³
1.0
1.7166 0.9911 9.4090
-1.7166 0.9911 9.4090
0.0000 -1.9821 9.4090
La Cr Re
2 1 1
direct
0.2456 0.2456 0.2456
0.7544 0.7544 0.7544
0.0000 0.0000 0.0000
0.5000 0.5000 0.5000


[3]
LaCr3Re | Alexandria | GGA-PBE | relaxed; total magnetic moment = 7.3 μB per formula unit; ΔH_f (0 K) = 0.817 eV/atom; polymorph energy (0 for the lowest one) = 0 meV per atom; DOS at the Fermi energy = 5.79 states/eV/cell; calculated total energy = -0.6197 Ry/atom; mass density = 7.54 Mg/m³
1.0
4.7318 0.0000 0.0000
0.0000 4.7318 0.0000
0.0000 0.0000 4.7318
La Cr Re
1 3 1
direct
0.0000 0.0000 0.0000
0.0000 0.5000 0.5000
0.5000 0.0000 0.5000
0.5000 0.5000 0.0000
0.5000 0.5000 0.5000


[4]
LaCr2ReS | Alexandria | GGA-PBE | relaxed; total magnetic moment = 3.5 μB per formula unit; E_form (uncorrected) = 0.33 eV/atom; DOS at the Fermi energy = 4.15 states/eV/cell; calculated total energy = -0.5747 Ry/atom; mass density = 8.62 Mg/m³
1.0
4.4005 0.0000 0.0000
0.0000 4.4005 0.0000
0.0000 0.0000 4.5881
La Cr Re S
1 2 1 1
direct
0.0000 0.0000 0.0000
0.0000 0.5000 0.5000
0.5000 0.0000 0.5000
0.5000 0.5000 0.0000
0.5000 0.5000 0.5000


[5]
LaCrRe2Se | Alexandria | GGA-PBE | relaxed; total magnetic moment = 2.5 μB per formula unit; E_form (uncorrected) = 0.85 eV/atom; DOS at the Fermi energy = 3.88 states/eV/cell; calculated total energy = -0.5687 Ry/atom; mass density = 10.44 Mg/m³
1.0
4.7298 0.0000 0.0000
0.0000 4.7298 0.0000
0.0000 0.0000 4.5658
La Cr Re Se
1 1 2 1
direct
0.0000 0.0000 0.0000
0.5000 0.5000 0.0000
0.0000 0.5000 0.5000
0.5000 0.0000 0.5000
0.5000 0.5000 0.5000


[6]
LaCrRe2Te | Alexandria | GGA-PBE | relaxed; total magnetic moment = 3.4 μB per formula unit; E_form (uncorrected) = 1.84 eV/atom; DOS at the Fermi energy = 6.18 states/eV/cell; calculated total energy = -0.4905 Ry/atom; mass density = 8.33 Mg/m³
1.0
4.9061 0.0000 0.0000
0.0000 4.9061 0.0000
0.0000 0.0000 5.7238
La Cr Re Te
1 1 2 1
direct
0.0000 0.0000 0.0000
0.5000 0.5000 0.0000
0.0000 0.5000 0.5000
0.5000 0.0000 0.5000
0.0000 0.0000 0.5000


[7]
LaTi2CrRe | Alexandria | GGA-PBE | relaxed; total magnetic moment = 0.0 μB per formula unit; ΔH_f (0 K) = 0.439 eV/atom; DOS at the Fermi energy = 5.68 states/eV/cell; calculated total energy = -0.5967 Ry/atom; mass density = 7.82 Mg/m³
1.0
4.6055 0.0000 0.0000
0.0000 4.6055 0.0000
0.0000 0.0000 4.7365
La Ti Cr Re
1 2 1 1
direct
0.0000 0.0000 0.0000
0.0000 0.5000 0.5000
0.5000 0.0000 0.5000
0.5000 0.5000 0.5000
0.5000 0.5000 0.0000


[8]
La3CrRh | Alexandria | GGA-PBE | relaxed; total magnetic moment = 4.6 μB per formula unit; ΔH_f (0 K) = 0.094 eV/atom; polymorph energy (0 for the lowest one) = 0 meV per atom; DOS at the Fermi energy = 5.94 states/eV/cell; calculated total energy = -0.4599 Ry/atom; mass density = 5.53 Mg/m³
1.0
5.5585 0.0000 0.0000
0.0000 5.5585 0.0000
0.0000 0.0000 5.5585
La Cr Rh
3 1 1
direct
0.0000 0.0000 0.5000
0.0000 0.5000 0.0000
0.5000 0.0000 0.0000
0.5000 0.5000 0.5000
0.0000 0.0000 0.0000


[9]
La2CrRh | Alexandria | GGA-PBE | relaxed; total magnetic moment = 3.5 μB per formula unit; ΔH_f (0 K) = -0.136 eV/atom; polymorph energy (0 for the lowest one) = 0 meV per atom; DOS at the Fermi energy = 3.52 states/eV/cell; calculated total energy = -0.5030 Ry/atom; mass density = 7.02 Mg/m³
1.0
3.9919 0.0000 0.0000
0.0000 2.1416 5.9851
0.0000 -2.1416 5.9851
La Cr Rh
2 1 1
direct
0.0000 0.0000 0.0000
0.5000 0.2832 0.2832
0.5000 0.5830 0.5830
0.0000 0.7290 0.7290


[10]
La2CrRh | Alexandria | GGA-PBE | relaxed; total magnetic moment = 3.6 μB per formula unit; ΔH_f (0 K) = -0.075 eV/atom; polymorph energy (0 for the lowest one) = 62 meV per atom; DOS at the Fermi energy = 3.43 states/eV/cell; calculated total energy = -0.4985 Ry/atom; mass density = 7.31 Mg/m³
1.0
3.6812 0.0000 0.0000
0.0000 3.6947 0.0000
0.0000 0.0000 7.2286
La Cr Rh
2 1 1
direct
0.0000 0.0000 0.2339
0.0000 0.0000 0.7661
0.5000 0.5000 0.5000
0.5000 0.5000 0.0000


[11]
LaCrRh3 | Alexandria | GGA-PBE | relaxed; total magnetic moment = 0.0 μB per formula unit; ΔH_f (0 K) = -0.030 eV/atom; polymorph energy (0 for the lowest one) = 0 meV per atom; DOS at the Fermi energy = 5.84 states/eV/cell; calculated total energy = -0.5403 Ry/atom; mass density = 8.64 Mg/m³
1.0
4.5788 0.0000 0.0000
0.0000 4.5788 0.0000
0.0000 0.0000 4.5788
La Cr Rh
1 1 3
direct
0.0000 0.0000 0.0000
0.5000 0.5000 0.5000
0.0000 0.5000 0.5000
0.5000 0.0000 0.5000
0.5000 0.5000 0.0000


[12]
La2CrRh | Alexandria | GGA-PBE | relaxed; total magnetic moment = 3.2 μB per formula unit; ΔH_f (0 K) = -0.065 eV/atom; polymorph energy (0 for the lowest one) = 72 meV per atom; DOS at the Fermi energy = 3.42 states/eV/cell; calculated total energy = -0.4977 Ry/atom; mass density = 7.31 Mg/m³
1.0
-1.8198 2.2912 5.8913
1.8198 -2.2912 5.8913
1.8198 2.2912 -5.8913
La Cr Rh
2 1 1
direct
0.0000 0.0000 0.0000
0.7165 0.2165 0.5000
0.4190 0.4190 0.0000
0.2627 0.7627 0.5000


[13]
La2CrRh | Alexandria | GGA-PBE | relaxed; total magnetic moment = 4.8 μB per formula unit; ΔH_f (0 K) = 0.056 eV/atom; polymorph energy (0 for the lowest one) = 193 meV per atom; DOS at the Fermi energy = 5.43 states/eV/cell; calculated total energy = -0.4888 Ry/atom; mass density = 8.00 Mg/m³
1.0
0.0000 3.5538 3.5538
3.5538 0.0000 3.5538
3.5538 3.5538 0.0000
La Cr Rh
2 1 1
direct
0.0000 0.0000 0.0000
0.2500 0.2500 0.2500
0.7500 0.7500 0.7500
0.5000 0.5000 0.5000


[14]
La2CrRh | Alexandria | GGA-PBE | relaxed; total magnetic moment = 0.0 μB per formula unit; ΔH_f (0 K) = 0.424 eV/atom; polymorph energy (0 for the lowest one) = 560 meV per atom; DOS at the Fermi energy = 15.29 states/eV/cell; calculated total energy = -0.4618 Ry/atom; mass density = 7.79 Mg/m³
1.0
-3.8104 3.8104 3.1761
3.8104 -3.8104 3.1761
3.8104 3.8104 -3.1761
La Cr Rh
4 2 2
direct
0.1202 0.6250 0.9952
0.3750 0.3702 0.4952
0.6298 0.1250 0.0048
0.8750 0.8798 0.5048
0.2500 0.7500 0.5000
0.5000 0.5000 0.0000
0.0000 0.0000 0.0000
0.7500 0.2500 0.5000


[15]
La2CrRh | Alexandria | GGA-PBE | relaxed; total magnetic moment = 0.0 μB per formula unit; ΔH_f (0 K) = 0.235 eV/atom; polymorph energy (0 for the lowest one) = 372 meV per atom; DOS at the Fermi energy = 8.52 states/eV/cell; calculated total energy = -0.4757 Ry/atom; mass density = 7.91 Mg/m³
1.0
0.0000 3.5675 3.5675
3.5675 0.0000 3.5675
3.5675 3.5675 0.0000
La Cr Rh
2 1 1
direct
0.2500 0.2500 0.2500
0.7500 0.7500 0.7500
0.0000 0.0000 0.0000
0.5000 0.5000 0.5000


[16]
LaCrRh3 | Alexandria | GGA-PBE | relaxed; total magnetic moment = 4.4 μB per formula unit; ΔH_f (0 K) = 1.186 eV/atom; polymorph energy (0 for the lowest one) = 1216 meV per atom; DOS at the Fermi energy = 6.31 states/eV/cell; calculated total energy = -0.4509 Ry/atom; mass density = 7.17 Mg/m³
1.0
4.8721 0.0000 0.0000
0.0000 4.8721 0.0000
0.0000 0.0000 4.8721
La Cr Rh
1 1 3
direct
0.0000 0.0000 0.0000
0.5000 0.5000 0.5000
0.0000 0.0000 0.5000
0.0000 0.5000 0.0000
0.5000 0.0000 0.0000


[17]
La2CrRh | Alexandria | GGA-PBE | relaxed; total magnetic moment = 3.4 μB per formula unit; ΔH_f (0 K) = 0.092 eV/atom; polymorph energy (0 for the lowest one) = 228 meV per atom; DOS at the Fermi energy = 4.64 states/eV/cell; calculated total energy = -0.4862 Ry/atom; mass density = 7.07 Mg/m³
1.0
3.5498 0.0000 0.0000
0.0000 3.5498 0.0000
0.0000 0.0000 8.0599
La Cr Rh
2 1 1
direct
0.0000 0.0000 0.0000
0.5000 0.5000 0.3931
0.5000 0.5000 0.7477
0.0000 0.0000 0.6235


[18]
La2CrRh | Alexandria | GGA-PBE | relaxed; total magnetic moment = 4.8 μB per formula unit; ΔH_f (0 K) = 0.046 eV/atom; polymorph energy (0 for the lowest one) = 182 meV per atom; DOS at the Fermi energy = 3.06 states/eV/cell; calculated total energy = -0.4896 Ry/atom; mass density = 6.22 Mg/m³
1.0
2.0448 1.1806 7.9799
-2.0448 1.1806 7.9799
0.0000 -2.3611 7.9799
La Cr Rh
2 1 1
direct
0.2354 0.2354 0.2354
0.7646 0.7646 0.7646
0.0000 0.0000 0.0000
0.5000 0.5000 0.5000


[19]
LaZn2CrRh | Alexandria | GGA-PBE | relaxed; total magnetic moment = 0.0 μB per formula unit; ΔH_f (0 K) = 0.136 eV/atom; DOS at the Fermi energy = 4.26 states/eV/cell; calculated total energy = -0.3494 Ry/atom; mass density = 6.91 Mg/m³
1.0
4.7642 0.0000 0.0000
0.0000 4.7642 0.0000
0.0000 0.0000 4.4946
La Zn Cr Rh
1 2 1 1
direct
0.0000 0.0000 0.0000
0.0000 0.5000 0.5000
0.5000 0.0000 0.5000
0.5000 0.5000 0.5000
0.5000 0.5000 0.0000


[20]
LaCrRu2 | Alexandria | GGA-PBE | relaxed; total magnetic moment = 1.2 μB per formula unit; ΔH_f (0 K) = 0.496 eV/atom; polymorph energy (0 for the lowest one) = 371 meV per atom; DOS at the Fermi energy = 6.07 states/eV/cell; calculated total energy = -0.5718 Ry/atom; mass density = 9.22 Mg/m³
1.0
0.0000 3.2827 3.2827
3.2827 0.0000 3.2827
3.2827 3.2827 0.0000
La Cr Ru
1 1 2
direct
0.0000 0.0000 0.0000
0.7500 0.7500 0.7500
0.2500 0.2500 0.2500
0.5000 0.5000 0.5000


[21]
LaCrRu3 | Alexandria | GGA-PBE | relaxed; total magnetic moment = 1.4 μB per formula unit; ΔH_f (0 K) = 1.891 eV/atom; polymorph energy (0 for the lowest one) = 1514 meV per atom; DOS at the Fermi energy = 5.35 states/eV/cell; calculated total energy = -0.4839 Ry/atom; mass density = 7.40 Mg/m³
1.0
4.8037 0.0000 0.0000
0.0000 4.8037 0.0000
0.0000 0.0000 4.8037
La Cr Ru
1 1 3
direct
0.0000 0.0000 0.0000
0.5000 0.5000 0.5000
0.0000 0.0000 0.5000
0.0000 0.5000 0.0000
0.5000 0.0000 0.0000


[22]
LaCrRu2 | Alexandria | GGA-PBE | relaxed; total magnetic moment = 0.5 μB per formula unit; ΔH_f (0 K) = 0.148 eV/atom; polymorph energy (0 for the lowest one) = 23 meV per atom; DOS at the Fermi energy = 4.79 states/eV/cell; calculated total energy = -0.5974 Ry/atom; mass density = 9.55 Mg/m³
1.0
3.0209 0.0000 0.0000
0.0000 3.0441 0.0000
-0.0135 0.0000 7.4304
La Cr Ru
1 1 2
direct
0.0000 0.0000 0.0000
0.0000 0.0000 0.5000
0.5002 0.5000 0.3127
0.4998 0.5000 0.6873


[23]
LaCrRu | Alexandria | GGA-PBE | relaxed; total magnetic moment = 3.4 μB per formula unit; ΔH_f (0 K) = 0.446 eV/atom; polymorph energy (0 for the lowest one) = 282 meV per atom; DOS at the Fermi energy = 4.69 states/eV/cell; calculated total energy = -0.5510 Ry/atom; mass density = 7.06 Mg/m³
1.0
0.0000 3.2510 3.2510
3.2510 0.0000 3.2510
3.2510 3.2510 0.0000
La Cr Ru
1 1 1
direct
0.0000 0.0000 0.0000
0.5000 0.5000 0.5000
0.2500 0.2500 0.2500


[24]
LaCrRu4 | Alexandria | GGA-PBE | relaxed; total magnetic moment = 1.6 μB per formula unit; ΔH_f (0 K) = 0.283 eV/atom; DOS at the Fermi energy = 7.02 states/eV/cell; calculated total energy = -0.6120 Ry/atom; mass density = 9.39 Mg/m³
1.0
0.0000 3.7472 3.7472
3.7472 0.0000 3.7472
3.7472 3.7472 0.0000
La Cr Ru
1 1 4
direct
0.0000 0.0000 0.0000
0.2500 0.2500 0.2500
0.1280 0.6240 0.6240
0.6240 0.1280 0.6240
0.6240 0.6240 0.1280
0.6240 0.6240 0.6240


[25]
LaCrRu2 | Alexandria | GGA-PBE | relaxed; total magnetic moment = 2.5 μB per formula unit; ΔH_f (0 K) = 0.320 eV/atom; polymorph energy (0 for the lowest one) = 195 meV per atom; DOS at the Fermi energy = 5.23 states/eV/cell; calculated total energy = -0.5848 Ry/atom; mass density = 9.21 Mg/m³
1.0
0.0000 3.2842 3.2842
3.2842 0.0000 3.2842
3.2842 3.2842 0.0000
La Cr Ru
1 1 2
direct
0.0000 0.0000 0.0000
0.5000 0.5000 0.5000
0.2500 0.2500 0.2500
0.7500 0.7500 0.7500


[26]
LaCrRu | Alexandria | GGA-PBE | relaxed; total magnetic moment = 1.8 μB per formula unit; ΔH_f (0 K) = 0.685 eV/atom; polymorph energy (0 for the lowest one) = 522 meV per atom; DOS at the Fermi energy = 4.00 states/eV/cell; calculated total energy = -0.5334 Ry/atom; mass density = 8.60 Mg/m³
1.0
2.9860 0.0000 0.0000
-1.4930 2.5860 0.0000
0.0000 0.0000 7.3012
La Cr Ru
1 1 1
direct
0.0000 0.0000 0.0000
0.3333 0.6667 0.6158
0.6667 0.3333 0.3765


[27]
LaCrRu2 | Alexandria | GGA-PBE | relaxed; total magnetic moment = 2.8 μB per formula unit; ΔH_f (0 K) = 0.354 eV/atom; polymorph energy (0 for the lowest one) = 229 meV per atom; DOS at the Fermi energy = 6.31 states/eV/cell; calculated total energy = -0.5822 Ry/atom; mass density = 9.06 Mg/m³
1.0
4.6172 0.0000 0.0000
0.0000 4.6172 0.0000
0.0000 0.0000 3.3807
La Cr Ru
1 1 2
direct
0.0000 0.0000 0.0000
0.5000 0.5000 0.0000
0.0000 0.5000 0.5000
0.5000 0.0000 0.5000


[28]
LaCrRu2 | Alexandria | GGA-PBE | relaxed; total magnetic moment = 3.2 μB per formula unit; ΔH_f (0 K) = 0.392 eV/atom; polymorph energy (0 for the lowest one) = 268 meV per atom; DOS at the Fermi energy = 3.83 states/eV/cell; calculated total energy = -0.5794 Ry/atom; mass density = 8.89 Mg/m³
1.0
-1.5346 2.3766 5.0328
1.5346 -2.3766 5.0328
1.5346 2.3766 -5.0328
La Cr Ru
1 1 2
direct
0.0000 0.0000 0.0000
0.7202 0.2202 0.5000
0.2702 0.7702 0.5000
0.4873 0.4873 0.0000


[29]
La4CrRu | Alexandria | GGA-PBE | relaxed; total magnetic moment = 3.7 μB per formula unit; ΔH_f (0 K) = 0.949 eV/atom; DOS at the Fermi energy = 8.69 states/eV/cell; calculated total energy = -0.4032 Ry/atom; mass density = 6.91 Mg/m³
1.0
0.0000 4.3986 4.3986
4.3986 0.0000 4.3986
4.3986 4.3986 0.0000
La Cr Ru
4 1 1
direct
0.1243 0.1243 0.1243
0.1243 0.1243 0.6270
0.1243 0.6270 0.1243
0.6270 0.1243 0.1243
0.5000 0.5000 0.5000
0.7500 0.7500 0.7500


[30]
LaCrRu2 | Alexandria | GGA-PBE | relaxed; total magnetic moment = 3.3 μB per formula unit; ΔH_f (0 K) = 0.469 eV/atom; polymorph energy (0 for the lowest one) = 344 meV per atom; DOS at the Fermi energy = 5.36 states/eV/cell; calculated total energy = -0.5738 Ry/atom; mass density = 9.28 Mg/m³
1.0
2.9431 -4.4298 0.0000
2.9431 4.4298 0.0000
-1.2392 0.0000 2.6971
La Cr Ru
1 1 2
direct
0.0000 0.0000 0.0000
0.5000 0.5000 0.0000
0.0000 0.5000 0.5000
0.5000 0.0000 0.5000